(1)
VASP calculation (PBE) on a geometry-optimized Ca2La2I structure.

Lattice parameters (Å, degrees): 8.216 8.216 6.242 90.00 90.00 90.00
Sites, in units of the cell vectors:
I 0.000 0.000 0.000
I 0.500 0.500 0.000
Ca 0.156 0.656 0.500
Ca 0.656 0.844 0.500
Ca 0.844 0.344 0.500
Ca 0.344 0.156 0.500
La 0.359 0.859 0.000
La 0.859 0.641 0.000
La 0.641 0.141 0.000
La 0.141 0.359 0.000

Values from the calculation:
- calculated density (g/cm3) = 3.8
- ΔE_f (raw) (kJ per mole of atoms) = -18.71
- magnetic moment (μB per formula unit) = 0.00
- symmetry = P4/mbm (127)

---

(2)
VASP calculation (PBE) on a geometry-optimized CsK2ThBr8 structure.

Lattice parameters (Å, degrees): 7.908 6.110 10.186 72.06 90.71 91.70
Sites, in units of the cell vectors:
Cs 0.000 0.000 0.500
K 0.518 0.340 0.802
K 0.482 0.660 0.198
Th 0.000 0.000 0.000
Br 0.037 0.633 0.252
Br 0.719 0.793 0.901
Br 0.758 0.170 0.144
Br 0.963 0.367 0.748
Br 0.281 0.207 0.099
Br 0.242 0.830 0.856
Br 0.500 0.753 0.501
Br 0.500 0.247 0.499

Values from the calculation:
- calculated density (g/cm3) = 3.8
- ΔE_f (raw) (kJ per mole of atoms) = -156.36
- magnetic moment (μB per formula unit) = 0.00
- symmetry = P-1 (2)

---

(3)
VASP calculation (PBE) on a geometry-optimized VP3Pt structure.

Lattice parameters (Å, degrees): 4.673 4.673 4.673 90.00 90.00 90.00
Each line ends with the local moment (μB).
Sites, in units of the cell vectors:
P 0.000 0.500 0.000  -0.13
P 0.000 0.000 0.500  -0.13
P 0.500 0.000 0.000  -0.13
Pt 0.000 0.000 0.000  -0.11
V 0.500 0.500 0.500  2.69

Values from the calculation:
- calculated density (g/cm3) = 5.5
- formation energy (eV/atom) = 0.940
- magnetic moment (μB per formula unit) = 2.27
- symmetry = Pm-3m (221)